K2H6W | GGA-PBE | relaxed

a = 5.931 Å, b = 5.931 Å, c = 5.931 Å
α = 60.00°, β = 60.00°, γ = 60.00°
Each line ends with the local moment (μB).
Fractional coordinates of all 9 atoms:
W  0.000  0.000  0.000  1.54
H  0.218  0.782  0.782  -0.01
H  0.218  0.218  0.782  -0.01
H  0.218  0.782  0.218  -0.01
H  0.782  0.218  0.782  -0.01
H  0.782  0.782  0.218  -0.01
H  0.782  0.218  0.218  -0.01
K  0.250  0.250  0.250  0.01
K  0.750  0.750  0.750  0.01

Summary:
VASP energy   -0.1369 hartree per atom
Space group   Fm-3m, No. 225